[1]
Density functional theory data (GGA-PBE) for ZnBi2W after structural relaxation.

a b c (Å): 7.8554 7.8554 7.8554
angles (deg): 131.80 131.80 70.54
Closest atoms and distances in Å follow each position.
Sites, in units of the cell vectors:
Zn  0.0000  0.0000  0.0000  4 Bi 2.81
Zn  0.7500  0.2500  0.5000  4 Bi 2.81
Bi  0.1325  0.6250  0.0075  2 W 2.75, 2 Zn 2.81
Bi  0.3750  0.3825  0.5075  2 W 2.75, 2 Zn 2.81
Bi  0.6175  0.1250  0.9925  2 W 2.75, 2 Zn 2.81
Bi  0.8750  0.8675  0.4925  2 W 2.75, 2 Zn 2.81
W  0.2500  0.7500  0.5000  4 Bi 2.75
W  0.5000  0.5000  0.0000  4 Bi 2.75

magnetization = 3.95 Bohr magnetons per cell
DFT total energy = -4.457 eV/atom
formation energy = 1.04 eV per atom

[2]
Density functional theory data (GGA-PBE) for KCrIr2 after structural relaxation.

a b c (Å): 5.2658 5.2658 2.7255
angles (deg): 90.00 90.00 114.02
Closest atoms and distances in Å follow each position.
Sites, in units of the cell vectors:
K  0.0000  0.0000  0.0000  2 K 2.73, 2 Cr 2.87, 8 Ir 2.96
Cr  0.5000  0.5000  0.0000  2 Cr 2.73, 2 K 2.87, 8 Ir 2.96
Ir  0.0000  0.5000  0.5000  4 Ir 2.73-2.87, 4 Cr 2.96, 4 K 2.96
Ir  0.5000  0.0000  0.5000  4 Ir 2.73-2.87, 4 Cr 2.96, 4 K 2.96

magnetization = 3.14 Bohr magnetons per cell
DFT total energy = -6.137 eV/atom
energy above the lowest structure with this stoichiometry = 643 meV/atom
formation energy = 0.97 eV per atom

Which DOS at the Fermi energy belongs to each record? In order, 1.35 4.26 states/eV/f.u..